Arrangement 1

The following is a DFT calculation (PBE) of a relaxed TbDy3Se6 crystal.

Cell lengths 11.9827, 11.9827, 14.3280 Å; angles 90.00, 90.00, 120.00 degrees
Closest atoms and distances in Å follow each position.
Space group R-3 (No. 148, hexagonal axes)
Asymmetric unit:
Tb1 0.0000 0.0000 0.0000  6 Se 2.82
Tb2 0.0000 0.0000 0.5000  6 Se 2.86
Dy1 0.0526 0.7810 0.2019  6 Se 2.83-2.96
Se1 0.0185 0.8057 0.3963  3 Dy 2.85-2.96, 1 Tb 2.86
Se2 0.0324 0.8373 0.8741  1 Tb 2.82, 3 Dy 2.83-2.94


Arrangement 2

The following is a DFT calculation (PBE) of a relaxed TbDy3Se6 crystal.

Cell lengths 11.5709, 4.1040, 11.8626 Å; angles 90.00, 109.08, 90.00 degrees
Closest atoms and distances in Å follow each position.
Space group P2_1/m (No. 11)
Asymmetric unit:
Tb1 0.0437 0.2500 0.1920  8 Se 2.95-3.13
Dy1 0.1591 0.2500 0.5830  6 Se 2.79-2.90
Dy2 0.3174 0.7500 0.9981  7 Se 2.82-3.07
Dy3 0.4322 0.2500 0.3323  6 Se 2.81-2.90
Se1 0.0829 0.7500 0.4010  3 Dy 2.87-2.90, 2 Tb 3.13
Se2 0.1113 0.2500 0.9648  3 Tb 2.95-3.04, 2 Dy 3.07
Se3 0.1921 0.7500 0.7502  3 Dy 2.79-2.82, 1 Tb 3.02
Se4 0.2532 0.7500 0.2227  3 Dy 2.90-2.99, 2 Tb 3.11
Se5 0.3962 0.2500 0.5627  4 Dy 2.83-2.90
Se6 0.4802 0.2500 0.1151  4 Dy 2.81-3.06


Decreasing stability: arrangement 2, arrangement 1


Arrangement 1

The following is a DFT calculation (PBE) of a relaxed TbDySe3 crystal.

Cell lengths 16.7398, 4.2766, 8.7540 Å; angles 90.00, 117.52, 90.00 degrees
Closest atoms and distances in Å follow each position.
Space group C2/m (No. 12)
Asymmetric unit:
Tb1 0.1306 0.0000 0.2898  6 Se 2.81-2.98
Dy1 0.1491 0.5000 0.7601  7 Se 2.87-3.14
Se1 0.0438 0.5000 0.3606  2 Tb 2.81, 2 Dy 2.90-3.10
Se2 0.1452 0.0000 0.9750  3 Dy 2.87-3.14, 1 Tb 2.88
Se3 0.2343 0.0000 0.6549  3 Tb 2.85-2.98, 2 Dy 2.94


Arrangement 2

The following is a DFT calculation (PBE) of a relaxed TbDySe3 crystal.

Cell lengths 8.0803, 4.0523, 8.1752 Å; angles 90.00, 94.70, 90.00 degrees
Closest atoms and distances in Å follow each position.
Space group P2_1/m (No. 11)
Asymmetric unit:
Tb1 0.1163 0.2500 0.2690  8 Se 2.89-3.14
Dy1 0.3559 0.7500 0.8183  6 Se 2.74-2.94
Se1 0.1212 0.2500 0.8885  2 Dy 2.87, 3 Tb 3.01-3.11
Se2 0.1793 0.7500 0.5180  1 Dy 2.74, 2 Tb 2.89
Se3 0.3916 0.7500 0.1796  3 Dy 2.87-2.94, 2 Tb 3.14


Decreasing stability: arrangement 2, arrangement 1